[1]
Crystalline LiCu4P at its relaxed geometry. Source: Alexandria via LeMat-Bulk, functional PBE.

## Properties
ΔE_f: 42 meV/atom
Magnetic moment: 0.00 Bohr magnetons per cell
Electronic total energy: -3.909 eV per atom
Density of states at the Fermi level: 0.239 states/eV/atom
Space group: F-43m, No. 216

The structure in POSCAR format:
```
LiCu4P
1.0
0.0000 3.4155 3.4155
3.4155 0.0000 3.4155
3.4155 3.4155 0.0000
P Cu Li
1 4 1
Direct
0.0000 0.0000 0.0000
0.3754 0.3754 0.8739
0.3754 0.3754 0.3754
0.3754 0.8739 0.3754
0.8739 0.3754 0.3754
0.7500 0.7500 0.7500
```

[2]
Crystalline Li2Cu2P at its relaxed geometry. Source: Alexandria via LeMat-Bulk, functional PBE.

## Properties
ΔE_f: -196 meV/atom
Magnetic moment: 0.00 Bohr magnetons per cell
Electronic total energy: -3.682 eV per atom
Distance to the lowest polymorph of the same formula: 0 meV per atom
Density of states at the Fermi level: 0.251 states/eV/atom
Space group: P4/mbm, No. 127

The structure in POSCAR format:
```
Li2Cu2P
1.0
5.9001 0.0000 0.0000
0.0000 5.9001 0.0000
0.0000 0.0000 4.1480
Li Cu P
4 4 2
Direct
0.3265 0.1735 0.5000
0.1735 0.6735 0.5000
0.8265 0.3265 0.5000
0.6735 0.8265 0.5000
0.3516 0.8516 0.0000
0.1484 0.3516 0.0000
0.8516 0.6484 0.0000
0.6484 0.1484 0.0000
0.0000 0.0000 0.0000
0.5000 0.5000 0.0000
```

[3]
Crystalline Li3CuP2 at its relaxed geometry. Source: Alexandria via LeMat-Bulk, functional PBE.

## Properties
ΔE_f: -431 meV/atom
Magnetic moment: 0.00 Bohr magnetons per cell
Electronic total energy: -3.874 eV per atom
Density of states at the Fermi level: 0.342 states/eV/atom
Space group: Ibam, No. 72

The structure in POSCAR format:
```
Li3CuP2
1.0
-4.1188 1.2070 2.9508
2.1764 -2.4963 4.0590
3.8451 6.0669 -1.7112
Li Cu P
6 2 4
Direct
0.9228 0.1779 0.3557
0.0772 0.8221 0.6443
0.5000 0.7500 0.0000
0.4329 0.6779 0.3557
0.5000 0.2500 0.0000
0.5671 0.3221 0.6443
0.0000 0.2500 0.0000
0.0000 0.7500 0.0000
0.8914 0.6215 0.2429
0.1086 0.3785 0.7571
0.3515 0.1215 0.2429
0.6485 0.8785 0.7571
```

[4]
Crystalline LiCu5P2 at its relaxed geometry. Source: Alexandria via LeMat-Bulk, functional PBE.

## Properties
ΔE_f: -172 meV/atom
Magnetic moment: 0.00 Bohr magnetons per cell
Electronic total energy: -4.324 eV per atom
Density of states at the Fermi level: 0.263 states/eV/atom
Space group: Immm, No. 71

The structure in POSCAR format:
```
LiCu5P2
1.0
3.7240 0.0005 0.8941
1.6144 5.3189 1.4750
0.5960 0.0464 5.7197
Cu P Li
5 2 1
Direct
0.3410 0.8394 0.4786
0.3410 0.4786 0.8394
0.6590 0.1606 0.5214
0.6590 0.5214 0.1606
0.0000 0.5000 0.5000
0.7298 0.7702 0.7702
0.2702 0.2298 0.2298
0.0000 0.0000 0.0000
```

[5]
Crystalline LiCuP at its relaxed geometry. Source: Alexandria via LeMat-Bulk, functional PBE.

## Properties
ΔE_f: -359 meV/atom
Magnetic moment: 0.00 Bohr magnetons per cell
Electronic total energy: -4.166 eV per atom
Density of states at the Fermi level: 0.672 states/eV/atom
Space group: P6_3mc, No. 186

The structure in POSCAR format:
```
LiCuP
1.0
-1.9526 3.3249 -0.7772
0.8368 -0.8883 -5.9029
-3.8957 -0.0872 -0.5392
Cu P Li
2 2 2
Direct
0.2749 0.8264 0.8557
0.6082 0.3263 0.1890
0.2745 0.4202 0.8555
0.6078 0.9203 0.1889
0.9410 0.6232 0.5221
0.9410 0.1232 0.5222
```

[6]
Crystalline LiCuP at its relaxed geometry. Source: Alexandria via LeMat-Bulk, functional PBE.

## Properties
ΔE_f: -320 meV/atom
Magnetic moment: 0.00 Bohr magnetons per cell
Electronic total energy: -4.127 eV per atom
Density of states at the Fermi level: 0.784 states/eV/atom
Space group: F-43m, No. 216

The structure in POSCAR format:
```
LiCuP
1.0
3.9164 0.0000 0.0000
1.9582 3.3917 0.0000
1.9582 1.1306 3.1977
Cu P Li
1 1 1
Direct
0.0000 0.0000 0.0000
0.7500 0.7500 0.7500
0.5000 0.5000 0.5000
```